[1]
A geometry-optimized Cd6In5Bi structure. Source: Alexandria via LeMat-Bulk, functional PBE.

Computed properties:
symmetry	C2/m (12)
energy of formation from the pure elements	0.04	eV per atom
DOS at the Fermi energy	4.96	states/eV/cell

abc: 8.659 8.659 4.748
angles: 105.49 105.49 105.65
Atoms (fractional coordinates):
Cd: 0.080 0.416 0.747
Cd: 0.245 0.245 0.245
Cd: 0.416 0.080 0.747
Cd: 0.584 0.920 0.253
Cd: 0.755 0.755 0.755
Cd: 0.920 0.584 0.253
In: 0.000 0.000 0.500
In: 0.165 0.835 0.000
In: 0.329 0.671 0.500
In: 0.671 0.329 0.500
In: 0.835 0.165 0.000
Bi: 0.500 0.500 0.000

***

[2]
A geometry-optimized Ca2TaAu structure. Source: Alexandria via LeMat-Bulk, functional PBE.

Computed properties:
symmetry	I-42d (122)
energy of formation from the pure elements	0.59	eV per atom
DOS at the Fermi energy	10.74	states/eV/cell

abc: 6.622 6.622 6.622
angles: 101.59 101.59 126.74
Atoms (fractional coordinates):
Ca: 0.086 0.625 0.961
Ca: 0.375 0.336 0.461
Ca: 0.664 0.125 0.039
Ca: 0.875 0.914 0.539
Ta: 0.250 0.750 0.500
Ta: 0.500 0.500 0.000
Au: 0.000 0.000 0.000
Au: 0.750 0.250 0.500

***

[3]
A geometry-optimized Tb2TiSi4Pt3 structure. Source: Alexandria via LeMat-Bulk, functional PBE.

Computed properties:
total energy	-6.736	eV per atom
symmetry	P-4m2 (115)
DOS at the Fermi energy	3.36	states/eV/cell

abc: 4.127 4.127 10.401
angles: 90.00 90.00 90.00
Atoms (fractional coordinates):
Tb: 0.000 0.500 0.245
Tb: 0.500 0.000 0.755
Ti: 0.000 0.000 0.500
Si: 0.000 0.000 0.000
Si: 0.000 0.500 0.644
Si: 0.500 0.000 0.356
Si: 0.500 0.500 0.000
Pt: 0.000 0.500 0.877
Pt: 0.500 0.000 0.123
Pt: 0.500 0.500 0.500

***

[4]
A geometry-optimized TiGe2Pd2 structure. Source: Alexandria via LeMat-Bulk, functional PBE.

Computed properties:
symmetry	P4/mbm (127)
energy of formation from the pure elements	-0.35	eV per atom
DOS at the Fermi energy	8.89	states/eV/cell

abc: 7.329 7.329 2.988
angles: 90.00 90.00 90.00
Atoms (fractional coordinates):
Ti: 0.000 0.000 0.000
Ti: 0.500 0.500 0.000
Ge: 0.154 0.346 0.000
Ge: 0.346 0.846 0.000
Ge: 0.654 0.154 0.000
Ge: 0.846 0.654 0.000
Pd: 0.145 0.645 0.500
Pd: 0.355 0.145 0.500
Pd: 0.645 0.855 0.500
Pd: 0.855 0.355 0.500

***

[5]
A geometry-optimized Ca2TeHRh structure. Source: Alexandria via LeMat-Bulk, functional PBE.

Computed properties:
total energy	-4.331	eV per atom
symmetry	P4/mmm (123)
DOS at the Fermi energy	2.86	states/eV/cell

abc: 5.164 5.164 3.735
angles: 90.00 90.00 90.00
Atoms (fractional coordinates):
Ca: 0.000 0.500 0.000
Ca: 0.500 0.000 0.000
Te: 0.000 0.000 0.500
H: 0.500 0.500 0.000
Rh: 0.500 0.500 0.500

***

[6]
A geometry-optimized CsBS2 structure. Source: Alexandria via LeMat-Bulk, functional PBE.

Computed properties:
total energy	-2.679	eV per atom
symmetry	P4/mmm (123)
DOS at the Fermi energy	0.28	states/eV/cell

abc: 4.791 4.791 5.022
angles: 90.00 90.00 90.00
Atoms (fractional coordinates):
Cs: 0.000 0.000 0.000
B: 0.500 0.500 0.500
S: 0.000 0.000 0.500
S: 0.500 0.500 0.000

***

[7]
A geometry-optimized MnFe2Ag structure. Source: Alexandria via LeMat-Bulk, functional PBE.

Computed properties:
symmetry	Cmm2 (35)
energy of formation from the pure elements	0.31	eV per atom
DOS at the Fermi energy	2.99	states/eV/cell

abc: 2.648 2.648 8.187
angles: 90.00 90.00 103.56
Atoms (fractional coordinates):
Mn: 0.000 0.000 0.000
Fe: 0.000 0.000 0.547
Fe: 0.500 0.500 0.768
Ag: 0.500 0.500 0.277

***

[8]
A geometry-optimized Ta2AgW structure. Source: Alexandria via LeMat-Bulk, functional PBE.

Computed properties:
symmetry	Pmmm (47)
energy of formation from the pure elements	0.37	eV per atom
DOS at the Fermi energy	3.23	states/eV/cell

abc: 3.660 4.263 4.451
angles: 90.00 90.00 90.00
Atoms (fractional coordinates):
Ta: 0.000 0.000 0.000
Ta: 0.500 0.000 0.500
Ag: 0.000 0.500 0.500
W: 0.500 0.500 0.000